The following is a PBE with a Hubbard U calculation of MnBPbO4 after structural relaxation, from Alexandria.

Unit cell a=6.086 b=6.877 c=8.696 alpha=90.00 beta=90.00 gamma=90.00
Site moments in Bohr magnetons follow the coordinates.
Fractional positions:
Mn1 0.500 0.000 0.000  3.91
Mn2 0.000 0.000 0.000  3.91
Mn3 0.000 0.500 0.500  3.91
Mn4 0.500 0.500 0.500  3.91
B1 0.250 0.798 0.735  0.01
B2 0.250 0.298 0.765  0.01
B3 0.750 0.202 0.265  0.01
B4 0.750 0.702 0.235  0.01
Pb1 0.250 0.543 0.148  0.01
Pb2 0.250 0.043 0.352  0.01
Pb3 0.750 0.457 0.852  0.01
Pb4 0.750 0.957 0.648  0.01
O1 0.250 0.892 0.104  -0.07
O2 0.250 0.392 0.396  -0.07
O3 0.750 0.108 0.896  -0.07
O4 0.750 0.608 0.604  -0.07
O5 0.250 0.718 0.591  0.05
O6 0.250 0.218 0.909  0.05
O7 0.750 0.282 0.409  0.05
O8 0.750 0.782 0.091  0.05
O9 0.051 0.840 0.809  -0.02
O10 0.449 0.340 0.691  -0.02
O11 0.551 0.160 0.191  -0.02
O12 0.949 0.660 0.309  -0.02
O13 0.949 0.160 0.191  -0.02
O14 0.551 0.660 0.309  -0.02
O15 0.449 0.840 0.809  -0.02
O16 0.051 0.340 0.691  -0.02

Output
The space-group type is No. 62. For the energy, the calculation gives -0.2647 Ha/atom. The density comes out at 6149 kg/m³.